A plane-wave DFT calculation with GGA-PBE was carried out for an optimized crystal structure of SbRhSe.

CIF file:
```
data_SbRhSe
_chemical_formula_sum 'Sb2 Rh2 Se2'
_space_group_name_H-M_alt 'P -1'
_space_group_IT_number 2
_cell_length_a 3.864
_cell_length_b 6.268
_cell_length_c 6.346
_cell_angle_alpha 60.66
_cell_angle_beta 85.31
_cell_angle_gamma 74.09
loop_
_space_group_symop_operation_xyz
'x,y,z'
'-x,-y,-z'
loop_
_atom_site_label
_atom_site_type_symbol
_atom_site_fract_x
_atom_site_fract_y
_atom_site_fract_z
Sb1 Sb 0.183 0.232 0.306
Rh1 Rh 0.191 0.018 0.791
Se1 Se 0.405 0.703 0.215
```

E = -5.328 eV per atom
Density of states at the Fermi level = 0.4214 states/eV/atom
E_form (uncorrected) = -341 meV/atom